The following is a DFT calculation (GGA-PBE) of a geometry-optimized PPb2 structure.

Results
formation enthalpy at 0 K: 1.7 eV per formula unit
raw total energy: -11.17 eV for the cell shown
E above lowest polymorph: 1.42 eV per formula unit

```
data_PPb2
_symmetry_space_group_name_H-M 'P 6/m m m'
_symmetry_Int_Tables_number 191
_symmetry_space_group_name_Hall '-P 6 2'
_cell_length_a 5.3593
_cell_length_b 5.3593
_cell_length_c 3.1976
_cell_angle_alpha 90.00
_cell_angle_beta 90.00
_cell_angle_gamma 120.00
loop_
_atom_site_label
_atom_site_fract_x
_atom_site_fract_y
_atom_site_fract_z
P1 0.0000 0.0000 0.0000
Pb1 0.3333 0.6667 0.5000
```

---

The following is a DFT calculation (GGA-PBE) of a geometry-optimized P2Pb structure.

Results
formation enthalpy at 0 K: 0.6 eV per formula unit
raw total energy: -55.75 eV for the cell shown
E above lowest polymorph: 0.49 eV per formula unit

```
data_P2Pb
_symmetry_space_group_name_H-M 'P a -3'
_symmetry_Int_Tables_number 205
_symmetry_space_group_name_Hall '-P 2ac 2ab 3'
_cell_length_a 6.747
_cell_length_b 6.747
_cell_length_c 6.747
_cell_angle_alpha 90.00
_cell_angle_beta 90.00
_cell_angle_gamma 90.00
loop_
_atom_site_label
_atom_site_fract_x
_atom_site_fract_y
_atom_site_fract_z
P1 0.089 0.089 0.089
Pb1 0.000 0.000 0.500
```

---

The following is a DFT calculation (GGA-PBE) of a geometry-optimized P2Pb structure.

Results
formation enthalpy at 0 K: 0.8 eV per formula unit
raw total energy: -27.45 eV for the cell shown
E above lowest polymorph: 0.70 eV per formula unit

```
data_P2Pb
_symmetry_space_group_name_H-M 'I 4/m m m'
_symmetry_Int_Tables_number 139
_symmetry_space_group_name_Hall '-I 4 2'
_cell_length_a 3.283
_cell_length_b 3.283
_cell_length_c 11.541
_cell_angle_alpha 90.00
_cell_angle_beta 90.00
_cell_angle_gamma 90.00
loop_
_atom_site_label
_atom_site_fract_x
_atom_site_fract_y
_atom_site_fract_z
P1 0.000 0.000 0.221
Pb1 0.000 0.000 0.500
```

---

The following is a DFT calculation (GGA-PBE) of a geometry-optimized PPb3 structure.

Results
formation enthalpy at 0 K: 0.4 eV per formula unit
raw total energy: -48.34 eV for the cell shown
E above lowest polymorph: 0.00 eV per formula unit

```
data_PPb3
_symmetry_space_group_name_H-M 'R -3 m'
_symmetry_Int_Tables_number 166
_symmetry_space_group_name_Hall '-R 3 2"'
_cell_length_a 3.9903
_cell_length_b 3.9903
_cell_length_c 25.6219
_cell_angle_alpha 90.00
_cell_angle_beta 90.00
_cell_angle_gamma 120.00
loop_
_atom_site_label
_atom_site_fract_x
_atom_site_fract_y
_atom_site_fract_z
P1 0.0000 0.0000 0.0000
Pb1 0.0000 0.0000 0.2679
Pb2 0.0000 0.0000 0.5000
```

---

The following is a DFT calculation (GGA-PBE) of a geometry-optimized PPb3 structure.

Results
formation enthalpy at 0 K: 1.0 eV per formula unit
raw total energy: -62.27 eV for the cell shown
E above lowest polymorph: 0.55 eV per formula unit

```
data_PPb3
_symmetry_space_group_name_H-M 'C m c m'
_symmetry_Int_Tables_number 63
_symmetry_space_group_name_Hall '-C 2c 2'
_cell_length_a 6.767
_cell_length_b 11.741
_cell_length_c 5.686
_cell_angle_alpha 90.00
_cell_angle_beta 90.00
_cell_angle_gamma 90.00
loop_
_atom_site_label
_atom_site_fract_x
_atom_site_fract_y
_atom_site_fract_z
P1 0.000 0.119 0.250
Pb1 0.000 0.348 0.750
Pb2 0.237 0.095 0.750
```

---

The following is a DFT calculation (GGA-PBE) of a geometry-optimized P6Pb7 structure.

Results
formation enthalpy at 0 K: 4.6 eV per formula unit
raw total energy: -161.55 eV for the cell shown

```
data_P6Pb7
_symmetry_space_group_name_H-M 'R -3 m'
_symmetry_Int_Tables_number 166
_symmetry_space_group_name_Hall '-R 3 2"'
_cell_length_a 6.6981
_cell_length_b 6.6981
_cell_length_c 29.0106
_cell_angle_alpha 90.00
_cell_angle_beta 90.00
_cell_angle_gamma 120.00
loop_
_atom_site_label
_atom_site_fract_x
_atom_site_fract_y
_atom_site_fract_z
P1 0.0000 0.0000 0.0843
P2 0.0000 0.0000 0.1558
P3 0.0000 0.0000 0.3379
Pb1 0.0000 0.0000 0.5000
Pb2 0.0063 0.5032 0.9273
```

---

The following is a DFT calculation (GGA-PBE) of a geometry-optimized P4Pb5 structure.

Results
formation enthalpy at 0 K: 2.0 eV per formula unit
raw total energy: -76.35 eV for the cell shown
E above lowest polymorph: 0.00 eV per formula unit

```
data_P4Pb5
_symmetry_space_group_name_H-M 'P 63/m c m'
_symmetry_Int_Tables_number 193
_symmetry_space_group_name_Hall '-P 6c 2'
_cell_length_a 8.3409
_cell_length_b 8.3409
_cell_length_c 7.7208
_cell_angle_alpha 90.00
_cell_angle_beta 90.00
_cell_angle_gamma 120.00
loop_
_atom_site_label
_atom_site_fract_x
_atom_site_fract_y
_atom_site_fract_z
P1 0.0000 0.0000 0.0000
P2 0.0000 0.4109 0.2500
Pb1 0.0000 0.2498 0.7500
Pb2 0.3333 0.6667 0.0000
```

---

The following is a DFT calculation (GGA-PBE) of a geometry-optimized PPb3 structure.

Results
formation enthalpy at 0 K: 1.2 eV per formula unit
raw total energy: -61.17 eV for the cell shown
E above lowest polymorph: 0.82 eV per formula unit

```
data_PPb3
_symmetry_space_group_name_H-M 'F m -3 m'
_symmetry_Int_Tables_number 225
_symmetry_space_group_name_Hall '-F 4 2 3'
_cell_length_a 7.570
_cell_length_b 7.570
_cell_length_c 7.570
_cell_angle_alpha 90.00
_cell_angle_beta 90.00
_cell_angle_gamma 90.00
loop_
_atom_site_label
_atom_site_fract_x
_atom_site_fract_y
_atom_site_fract_z
P1 0.000 0.000 0.000
Pb1 0.000 0.000 0.500
Pb2 0.250 0.250 0.250
```

---

Q: Among the records above, which one has the highest raw total energy?
A: PPb2

---

What did the first record say?
The following is a DFT calculation (GGA-PBE) of a geometry-optimized PPb2 structure.

Results
formation enthalpy at 0 K: 1.7 eV per formula unit
raw total energy: -11.17 eV for the cell shown
E above lowest polymorph: 1.42 eV per formula unit

```
data_PPb2
_symmetry_space_group_name_H-M 'P 6/m m m'
_symmetry_Int_Tables_number 191
_symmetry_space_group_name_Hall '-P 6 2'
_cell_length_a 5.3593
_cell_length_b 5.3593
_cell_length_c 3.1976
_cell_angle_alpha 90.00
_cell_angle_beta 90.00
_cell_angle_gamma 120.00
loop_
_atom_site_label
_atom_site_fract_x
_atom_site_fract_y
_atom_site_fract_z
P1 0.0000 0.0000 0.0000
Pb1 0.3333 0.6667 0.5000
```